Here is a relaxed Y2MgCdH crystal from the Alexandria database. Energies are from PBE.

Structure (extended XYZ):
```
5
Lattice="-0.845 -3.589 3.154 4.293 0.836 2.101 -1.936 2.913 2.796" Properties=species:S:1:pos:R:3 pbc="T T T"
Mg -0.968 1.456 1.398
Y -0.422 -1.795 1.577
Cd 0.756 0.080 4.026
Y 2.146 0.418 1.051
H 0.000 0.000 0.000
```

Summary:
SG	P4/mmm
N(E_F)	3.8	states/eV/cell
V	105	Å³ per cell
total magnetic moment	0.728	μB per cell
energy relative to the lowest polymorph listed for this composition	0.0	meV/atom
raw total energy	-4.0226	eV per atom